Record 1
Material: NaLaBi4O8
Method: DFT, PBE
State: optimized geometry

Raw formation energy, eV/atom: -1.584
SG: R3m, No. 160
M_tot, μB per atom: 0.000
Final energy, eV per cell: -83.61

a b c (Å): 7.072 7.072 7.125
angles (deg): 60.24 60.24 60.00
Element x y z (fractional)
Bi 0.001 0.001 0.501
Bi 0.622 0.622 0.133
Bi 0.001 0.496 0.501
Bi 0.496 0.001 0.501
Na 0.000 0.000 0.000
O 0.742 0.742 0.277
O 0.761 0.761 0.716
O 0.742 0.239 0.277
O 0.239 0.742 0.277
O 0.247 0.777 0.729
O 0.247 0.247 0.729
O 0.244 0.244 0.267
O 0.777 0.247 0.729
La 0.380 0.380 0.861

---

Record 2
Material: ZrCd2Re
Method: DFT, PBE
State: optimized geometry

SG: P4mm, No. 99
M_tot, μB per atom: 0.000
Final energy, eV per cell: -22.16

a b c (Å): 3.455 3.455 6.722
angles (deg): 90.00 90.00 90.00
Element x y z (fractional)
Zr 0.500 0.500 0.710
Re 0.000 0.000 0.523
Cd 0.000 0.000 0.005
Cd 0.500 0.500 0.261

---

Record 3
Material: InB3Br
Method: DFT, PBE
State: optimized geometry

Raw formation energy, eV/atom: 2.350
SG: Pm-3m, No. 221
M_tot, μB per atom: 0.000
Final energy, eV per cell: -12.70

a b c (Å): 4.265 4.265 4.265
angles (deg): 90.00 90.00 90.00
Element x y z (fractional)
B 0.000 0.500 0.000
B 0.500 0.000 0.000
B 0.000 0.000 0.500
In 0.500 0.500 0.500
Br 0.000 0.000 0.000

---

Record 4
Material: Sr3CdBi
Method: DFT, PBE
State: optimized geometry

SG: Pm-3m, No. 221
M_tot, μB per atom: 0.000
Final energy, eV per cell: -10.95

a b c (Å): 6.391 6.391 6.391
angles (deg): 90.00 90.00 90.00
Element x y z (fractional)
Bi 0.000 0.000 0.000
Sr 0.000 0.500 0.000
Sr 0.000 0.000 0.500
Sr 0.500 0.000 0.000
Cd 0.500 0.500 0.500

---

Record 5
Material: BeCdPt2
Method: DFT, PBE
State: optimized geometry

SG: I-42d, No. 122
M_tot, μB per atom: 0.000
Final energy, eV per cell: -32.85

a b c (Å): 4.592 4.592 8.062
angles (deg): 73.45 73.45 90.00
Element x y z (fractional)
Cd 0.000 0.000 0.000
Cd 0.750 0.250 0.500
Pt 0.504 0.125 0.250
Pt 0.875 0.754 0.750
Pt 0.375 0.496 0.750
Pt 0.246 0.625 0.250
Be 0.250 0.750 0.500
Be 0.500 0.500 0.000

---

Record 6
Material: Ba12SnAu5
Method: DFT, PBE
State: optimized geometry

SG: Immm, No. 71
M_tot, μB per atom: 0.000
Final energy, eV per cell: -52.36

a b c (Å): 9.964 9.964 9.964
angles (deg): 105.62 114.26 108.65
Element x y z (fractional)
Ba 0.104 0.827 0.277
Ba 0.694 0.663 0.357
Ba 0.816 0.056 0.239
Ba 0.896 0.173 0.723
Ba 0.184 0.944 0.761
Ba 0.816 0.577 0.761
Ba 0.550 0.827 0.723
Ba 0.306 0.663 0.969
Ba 0.306 0.337 0.643
Ba 0.694 0.337 0.031
Ba 0.184 0.423 0.239
Ba 0.450 0.173 0.277
Sn 0.000 0.500 0.500
Au 0.664 0.664 0.000
Au 0.000 0.000 0.000
Au 0.336 0.336 0.000
Au 0.500 0.877 0.377
Au 0.500 0.123 0.623

---

Record 7
Material: EuCuSeF
Method: DFT, PBE
State: optimized geometry

Raw formation energy, eV/atom: -1.981
SG: P4/nmm, No. 129
M_tot, μB per atom: 1.750
Final energy, eV per cell: -55.30

a b c (Å): 4.041 4.041 8.828
angles (deg): 90.00 90.00 90.00
Element x y z (fractional)
Eu 0.500 0.000 0.332
Eu 0.000 0.500 0.668
F 0.500 0.500 0.500
F 0.000 0.000 0.500
Cu 0.000 0.000 0.000
Cu 0.500 0.500 0.000
Se 0.000 0.500 0.173
Se 0.500 0.000 0.827

---

Record 8
Material: AlReBi2I
Method: DFT, PBE
State: optimized geometry

Raw formation energy, eV/atom: 0.882
SG: P4/mmm, No. 123
M_tot, μB per atom: 0.000
Final energy, eV per cell: -21.09

a b c (Å): 5.256 5.256 5.981
angles (deg): 90.00 90.00 90.00
Element x y z (fractional)
Bi 0.500 0.000 0.000
Bi 0.000 0.500 0.000
Al 0.500 0.500 0.500
I 0.000 0.000 0.500
Re 0.000 0.000 0.000

---

Record 9
Material: Cr2SiN2
Method: DFT, PBE
State: optimized geometry

Raw formation energy, eV/atom: 0.151
SG: I4/mmm, No. 139
M_tot, μB per atom: 0.334
Final energy, eV per cell: -40.57

a b c (Å): 3.685 3.685 4.915
angles (deg): 67.98 67.98 90.00
Element x y z (fractional)
N 0.318 0.318 0.363
N 0.682 0.682 0.637
Si 0.000 0.000 0.000
Cr 0.250 0.750 0.500
Cr 0.750 0.250 0.500

---

Record 10
Material: CePu2PaSb4
Method: DFT, PBE
State: optimized geometry

Raw formation energy, eV/atom: -0.686
SG: P2/m, No. 10
M_tot, μB per atom: 0.116
Final energy, eV per cell: -66.07

a b c (Å): 4.432 7.732 7.619
angles (deg): 109.57 90.00 90.00
Element x y z (fractional)
Sb 0.000 0.255 0.754
Sb 0.500 0.255 0.249
Sb 0.000 0.745 0.246
Sb 0.500 0.745 0.751
Pu 0.500 0.000 0.500
Pu 0.000 0.500 0.500
Ce 0.000 0.000 0.000
Pa 0.500 0.500 0.000

---

Record 11
Material: MnSi2Te
Method: DFT, PBE
State: optimized geometry

Raw formation energy, eV/atom: 0.506
SG: I4/mmm, No. 139
M_tot, μB per atom: 0.917
Final energy, eV per cell: -21.13

a b c (Å): 5.731 5.731 5.731
angles (deg): 140.75 140.75 56.71
Element x y z (fractional)
Mn 0.750 0.250 0.500
Si 0.000 0.000 0.000
Si 0.500 0.500 0.000
Te 0.250 0.750 0.500

---

Record 12
Material: Zr3BiS
Method: DFT, PBE
State: optimized geometry

Raw formation energy, eV/atom: 1.220
SG: Pm-3m, No. 221
M_tot, μB per atom: 0.864
Final energy, eV per cell: -27.55

a b c (Å): 5.456 5.456 5.456
angles (deg): 90.00 90.00 90.00
Element x y z (fractional)
Bi 0.000 0.000 0.000
Zr 0.000 0.000 0.500
Zr 0.000 0.500 0.000
Zr 0.500 0.000 0.000
S 0.500 0.500 0.500

---

Record 13
Material: TiTc2Pt
Method: DFT, PBE
State: optimized geometry

SG: I-42d, No. 122
M_tot, μB per atom: 0.000
Final energy, eV per cell: -68.46

a b c (Å): 3.707 3.707 9.892
angles (deg): 79.20 79.20 90.00
Element x y z (fractional)
Tc 0.595 0.125 0.250
Tc 0.875 0.845 0.750
Tc 0.155 0.625 0.250
Tc 0.375 0.405 0.750
Ti 0.500 0.500 0.000
Ti 0.250 0.750 0.500
Pt 0.750 0.250 0.500
Pt 0.000 0.000 0.000

---

Record 14
Material: KLa7Cu4O16
Method: DFT, PBE
State: optimized geometry

Raw formation energy, eV/atom: -2.377
SG: I4mm, No. 107
M_tot, μB per atom: 0.034
Final energy, eV per cell: -197.86

a b c (Å): 13.599 13.599 13.599
angles (deg): 157.07 157.07 32.65
Element x y z (fractional)
La 0.944 0.444 0.500
La 0.554 0.554 0.000
La 0.444 0.944 0.500
La 0.695 0.695 0.000
La 0.303 0.803 0.500
La 0.058 0.058 0.000
La 0.803 0.303 0.500
O 0.630 0.122 0.000
O 0.298 0.298 0.000
O 0.784 0.784 0.000
O 0.218 0.718 0.500
O 0.378 0.862 0.000
O 0.122 0.630 0.000
O 0.532 0.032 0.500
O 0.032 0.532 0.500
O 0.378 0.378 0.516
O 0.862 0.378 0.000
O 0.122 0.122 0.492
O 0.967 0.967 0.000
O 0.862 0.862 0.484
O 0.630 0.630 0.508
O 0.718 0.218 0.500
O 0.460 0.460 0.000
Cu 0.127 0.627 0.500
Cu 0.375 0.375 0.000
Cu 0.876 0.876 0.000
Cu 0.627 0.127 0.500
K 0.197 0.197 0.000

---

Record 15
Material: Zn5Rh3
Method: DFT, PBE
State: optimized geometry

SG: P6_3/mcm, No. 193
M_tot, μB per atom: 0.000
Final energy, eV per cell: -61.22

a b c (Å): 7.467 4.930 7.466
angles (deg): 90.00 60.00 90.00
Element x y z (fractional)
Rh 0.000 0.250 0.386
Rh 0.386 0.750 0.000
Rh 0.614 0.250 0.000
Rh 0.000 0.750 0.614
Rh 0.614 0.750 0.386
Rh 0.386 0.250 0.614
Zn 0.333 0.500 0.333
Zn 0.000 0.250 0.747
Zn 0.253 0.750 0.747
Zn 0.000 0.750 0.253
Zn 0.667 0.500 0.667
Zn 0.253 0.250 0.000
Zn 0.333 0.000 0.333
Zn 0.747 0.250 0.253
Zn 0.667 0.000 0.667
Zn 0.747 0.750 0.000

---

Record 16
Material: PuHfSc2
Method: DFT, PBE
State: optimized geometry

SG: R3m, No. 160
M_tot, μB per atom: 1.416
Final energy, eV per cell: -36.63

a b c (Å): 3.248 3.248 10.673
angles (deg): 81.25 81.25 60.00
Element x y z (fractional)
Sc 0.087 0.087 0.740
Sc 0.247 0.247 0.260
Hf 0.500 0.500 0.499
Pu 0.666 0.666 0.001

---

Record 17
Material: TbPuZr2N4
Method: DFT, PBE
State: optimized geometry

Raw formation energy, eV/atom: -1.615
SG: P2/m, No. 10
M_tot, μB per atom: 0.604
Final energy, eV per cell: -82.28

a b c (Å): 3.359 5.868 5.799
angles (deg): 70.76 90.00 90.00
Element x y z (fractional)
Pu 0.500 0.500 0.000
Zr 0.500 0.000 0.500
Zr 0.000 0.000 0.000
N 0.500 0.231 0.757
N 0.000 0.234 0.253
N 0.000 0.766 0.747
N 0.500 0.769 0.243
Tb 0.000 0.500 0.500

---

Record 18
Material: MgTlIn2Tc
Method: DFT, PBE
State: optimized geometry

SG: P4/mmm, No. 123
M_tot, μB per atom: 0.831
Final energy, eV per cell: -13.88

a b c (Å): 5.343 5.339 5.343
angles (deg): 90.00 90.00 90.00
Element x y z (fractional)
Mg 0.000 0.000 0.000
Tl 0.000 0.500 0.000
In 0.500 0.000 0.000
In 0.000 0.000 0.500
Tc 0.500 0.500 0.500

---

Record 19
Material: Li2CdHPb
Method: DFT, PBE
State: optimized geometry

SG: P4/mmm, No. 123
M_tot, μB per atom: 0.000
Final energy, eV per cell: -12.22

a b c (Å): 4.417 4.417 4.608
angles (deg): 90.00 90.00 90.00
Element x y z (fractional)
Li 0.500 0.000 0.000
Li 0.000 0.500 0.000
H 0.000 0.000 0.000
Cd 0.500 0.500 0.500
Pb 0.000 0.000 0.500

---

Record 20
Material: PuHg6Pd6
Method: DFT, PBE
State: optimized geometry

SG: Immm, No. 71
M_tot, μB per atom: 0.440
Final energy, eV per cell: -50.27

a b c (Å): 5.653 7.333 7.333
angles (deg): 78.87 67.33 67.33
Element x y z (fractional)
Pd 0.500 0.500 0.000
Pd 0.500 0.000 0.500
Pd 0.500 0.761 0.239
Pd 0.000 0.500 0.000
Pd 0.500 0.239 0.761
Pd 0.000 0.000 0.500
Hg 0.678 0.822 0.822
Hg 0.341 0.659 0.659
Hg 0.322 0.178 0.178
Hg 0.000 0.664 0.336
Hg 0.000 0.336 0.664
Hg 0.659 0.341 0.341
Pu 0.000 0.000 0.000